Pm4PdPb | PBE | optimized geometry

a b c (Å): 5.051 5.053 7.665
angles (deg): 89.90 89.95 90.00
Atoms (fractional coordinates):
1 Pm 0.502 0.998 0.727
2 Pm 0.002 0.498 0.726
3 Pm 0.501 0.997 0.270
4 Pm 0.001 0.497 0.270
5 Pd 0.001 0.997 0.498
6 Pb 0.501 0.497 0.998

Calculated values
The density of states at the Fermi level is 7.90 states/eV/f.u. The value obtained for the formation energy is -296 meV/atom. The total moment is 0.000 μB per cell.

Pm3Pd2Pb3 | PBE | optimized geometry

a b c (Å): 4.676 6.141 15.813
angles (deg): 90.00 90.00 112.37
Atoms (fractional coordinates):
1 Pb 0.371 0.743 0.965
2 Pb 0.629 0.257 0.465
3 Pb 0.371 0.743 0.535
4 Pb 0.360 0.719 0.250
5 Pb 0.640 0.281 0.750
6 Pb 0.629 0.257 0.035
7 Pm 0.919 0.838 0.110
8 Pm 0.919 0.838 0.390
9 Pm 0.081 0.162 0.890
10 Pm 0.081 0.162 0.610
11 Pm 0.649 0.298 0.250
12 Pm 0.351 0.702 0.750
13 Pd 0.202 0.403 0.388
14 Pd 0.798 0.597 0.612
15 Pd 0.798 0.597 0.888
16 Pd 0.202 0.403 0.112

Calculated values
The density of states at the Fermi level is 3.33 states/eV/f.u. Its offset from the most stable computed form is 0.0000 eV per atom. The value obtained for the formation energy is -647 meV/atom. The total moment is 0.000 μB per cell.

What is the total moment in the second record? 0.000 μB per cell